(1)
Crystalline PmCrCdC at its relaxed geometry. Source: Alexandria, functional PBE.

```
PmCrCdC
1.0
3.853 0.000 0.000
0.000 3.853 0.000
0.000 0.000 10.313
Cd C Pm Cr
2 2 2 2
direct
0.750 0.250 0.500
0.250 0.750 0.500
0.750 0.750 0.944
0.250 0.250 0.056
0.750 0.750 0.221
0.250 0.250 0.779
0.250 0.750 0.000
0.750 0.250 0.000
```

Values from the calculation:
Energy, eV/cell: -48.60
M_tot, μB/cell: 1.84
Space-group type: P4/nmm, No. 129
Energy relative to the elements, kcal/mol of atoms: 1.21

---

(2)
Crystalline Cr2CdPtC at its relaxed geometry. Source: Alexandria, functional PBE.

```
Cr2CdPtC
1.0
5.107 0.000 0.000
0.000 4.921 0.000
0.000 0.000 5.107
Cd Pt Cr C
1 1 2 1
direct
0.000 0.000 0.000
0.000 0.500 0.000
0.500 0.000 0.000
0.000 0.000 0.500
0.500 0.500 0.500
```

Values from the calculation:
Energy, eV/cell: -22.32
M_tot, μB/cell: 7.90
Space-group type: P4/mmm, No. 123
Energy relative to the elements, kcal/mol of atoms: 60.45

---

(3)
Crystalline CrCdRh2C at its relaxed geometry. Source: Alexandria, functional PBE.

```
CrCdRh2C
1.0
-3.410 2.216 0.797
-2.218 -2.553 -2.394
-0.767 -2.330 3.195
Rh C Cd Cr
2 1 1 1
direct
0.500 0.000 0.000
0.000 0.500 0.000
0.000 0.000 0.000
0.500 0.500 0.500
0.000 0.000 0.500
```

Values from the calculation:
Energy, eV/cell: -34.40
M_tot, μB/cell: 3.47
Space-group type: P4/mmm, No. 123
Energy relative to the elements, kcal/mol of atoms: 0.32